The following is a PBE calculation of Ce2Sc4Ge3O2 after structural relaxation, from the Alexandria database.

## Properties
Total magnetic moment ... 2.72 μB per formula unit
Energy relative to the elements, uncorrected ... -1616 meV/atom
Space group ... No. 139

a b c (Å): 12.0887 12.0887 12.0887
angles (deg): 159.50 159.50 29.16
Closest atoms and distances in Å follow each position.
Positions (direct):
Ce1 0.1964 0.1964 0.0000  1 O 2.53
Ce2 0.8036 0.8036 0.0000  1 O 2.53
Sc1 0.0777 0.5777 0.5000  2 O 2.17
Sc2 0.4223 0.9223 0.5000  2 O 2.17
Sc3 0.5777 0.0777 0.5000  2 O 2.17
Sc4 0.9223 0.4223 0.5000  2 O 2.17
Ge1 0.3336 0.3336 0.0000  4 Sc 2.99, 5 Ce 3.12-3.21
Ge2 0.5000 0.5000 0.0000  8 Sc 2.82
Ge3 0.6664 0.6664 0.0000  4 Sc 2.99, 5 Ce 3.12-3.21
O1 0.0884 0.0884 0.0000  4 Sc 2.17
O2 0.9116 0.9116 0.0000  4 Sc 2.17

---

The following is a PBE calculation of CsScTlF6 after structural relaxation, from the Alexandria database.

## Properties
Total magnetic moment ... 0.66 μB per formula unit
Energy relative to the elements, uncorrected ... -2951 meV/atom
Space group ... No. 1

a b c (Å): 5.9763 6.1696 6.1754
angles (deg): 60.04 89.97 89.93
Closest atoms and distances in Å follow each position.
Positions (direct):
Cs1 0.0000 0.0000 0.0000  6 F 3.02-3.03
Sc1 0.4969 0.6666 0.6668  6 F 2.05
Tl1 0.4999 0.3334 0.3331  6 F 2.43
F1 0.3028 0.4131 0.9564  1 Sc 2.05
F2 0.3029 0.6309 0.4127  1 Sc 2.05
F3 0.3030 0.9571 0.6306  1 Sc 2.05
F4 0.6908 0.4087 0.6370  1 Sc 2.05
F5 0.6910 0.6367 0.9539  1 Sc 2.05
F6 0.6911 0.9535 0.4094  1 Sc 2.05

---

The following is a PBE calculation of CaCeO3 after structural relaxation, from the Alexandria database.

## Properties
Total magnetic moment ... 0.00 μB per formula unit
Energy relative to the elements, uncorrected ... -3201 meV/atom
Space group ... No. 62

a b c (Å): 6.0604 8.5191 5.8419
angles (deg): 90.00 90.00 90.00
Closest atoms and distances in Å follow each position.
Positions (direct):
Ca1 0.0501 0.2500 0.0135  4 O 2.35-2.45
Ca2 0.4499 0.7500 0.5135  4 O 2.35-2.45
Ca3 0.5501 0.2500 0.4865  4 O 2.35-2.45
Ca4 0.9499 0.7500 0.9865  4 O 2.35-2.45
Ce1 0.0000 0.0000 0.5000  6 O 2.23-2.30
Ce2 0.0000 0.5000 0.5000  6 O 2.23-2.30
Ce3 0.5000 0.0000 0.0000  6 O 2.23-2.30
Ce4 0.5000 0.5000 0.0000  6 O 2.23-2.30
O1 0.0701 0.7500 0.3682  2 Ce 2.30, 2 Ca 2.35-2.45
O2 0.1915 0.5712 0.8098  2 Ce 2.23-2.26, 1 Ca 2.35
O3 0.1915 0.9288 0.8098  2 Ce 2.23-2.26, 1 Ca 2.35
O4 0.3085 0.0712 0.3098  2 Ce 2.23-2.26, 1 Ca 2.35
O5 0.3085 0.4288 0.3098  2 Ce 2.23-2.26, 1 Ca 2.35
O6 0.4299 0.2500 0.8682  2 Ce 2.30, 2 Ca 2.35-2.45
O7 0.5701 0.7500 0.1318  2 Ce 2.30, 2 Ca 2.35-2.45
O8 0.6915 0.5712 0.6902  2 Ce 2.23-2.26, 1 Ca 2.35
O9 0.6915 0.9288 0.6902  2 Ce 2.23-2.26, 1 Ca 2.35
O10 0.8085 0.0712 0.1902  2 Ce 2.23-2.26, 1 Ca 2.35
O11 0.8085 0.4288 0.1902  2 Ce 2.23-2.26, 1 Ca 2.35
O12 0.9299 0.2500 0.6318  2 Ce 2.30, 2 Ca 2.35-2.45

---

The following is a PBE calculation of Na2HgPbI6 after structural relaxation, from the Alexandria database.

## Properties
Total magnetic moment ... 0.00 μB per formula unit
Energy relative to the elements, uncorrected ... -731 meV/atom
Space group ... No. 1

a b c (Å): 8.0259 8.0321 8.5923
angles (deg): 90.09 117.76 119.93
Closest atoms and distances in Å follow each position.
Positions (direct):
Na1 0.0000 0.0000 0.0000  6 I 3.20-3.30
Na2 0.0019 0.5005 0.5030  6 I 3.24-3.26
Hg1 0.3985 0.6983 0.0964  6 I 2.98-3.23
Pb1 0.3912 0.1946 0.5869  6 I 3.18-3.36
I1 0.2077 0.7854 0.2865  1 Hg 2.98, 2 Na 3.24-3.30
I2 0.2104 0.9061 0.8029  1 Pb 3.18, 2 Na 3.20-3.25, 1 Hg 3.23
I3 0.4993 0.5922 0.8034  1 Pb 3.18, 2 Na 3.20-3.26, 1 Hg 3.21
I4 0.5006 0.4209 0.2866  1 Hg 2.98, 2 Na 3.24-3.29
I5 0.8652 0.0787 0.2870  1 Hg 2.98, 2 Na 3.24-3.29
I6 0.8961 0.3033 0.8030  1 Pb 3.18, 2 Na 3.20-3.25, 1 Hg 3.23